(1)
KYFeSe3 | PBE | optimized geometry

The calculation puts the volume at 679 Å³/cell. For the final energy, the calculation gives -5.6079 eV per atom. For the relative energy among the computed polymorphs, the calculation gives 0.3 kJ per mole of atoms.

a b c (Å): 15.1217 4.0746 11.0269
angles (deg): 90.00 90.00 90.00
Sites, in units of the cell vectors:
1 Fe 0.4903 0.7500 0.0821
2 Fe 0.9903 0.7500 0.4179
3 Fe 0.0097 0.2500 0.5821
4 Fe 0.5097 0.2500 0.9179
5 K 0.2660 0.2500 0.0325
6 K 0.7660 0.2500 0.4675
7 K 0.2340 0.7500 0.5325
8 K 0.7340 0.7500 0.9675
9 Se 0.1007 0.7500 0.0725
10 Se 0.5864 0.2500 0.1159
11 Se 0.3739 0.7500 0.2348
12 Se 0.8739 0.7500 0.2652
13 Se 0.0864 0.2500 0.3841
14 Se 0.6007 0.7500 0.4275
15 Se 0.3993 0.2500 0.5725
16 Se 0.9136 0.7500 0.6159
17 Se 0.1261 0.2500 0.7348
18 Se 0.6261 0.2500 0.7652
19 Se 0.4136 0.7500 0.8841
20 Se 0.8993 0.2500 0.9275
21 Y 0.9833 0.2500 0.1563
22 Y 0.4833 0.2500 0.3437
23 Y 0.5167 0.7500 0.6563
24 Y 0.0167 0.7500 0.8437



(2)
Li4Sb2PdPt | PBE | optimized geometry

The calculation puts the volume at 127 Å³/cell. For the final energy, the calculation gives -4.0592 eV per atom.

a b c (Å): 4.4767 4.4767 6.3319
angles (deg): 90.00 90.00 90.00
Sites, in units of the cell vectors:
1 Li 0.0000 0.0000 0.0000
2 Li 0.0000 0.5000 0.2504
3 Li 0.5000 0.5000 0.5000
4 Li 0.5000 0.0000 0.7496
5 Pd 0.5000 0.5000 0.0000
6 Pt 0.0000 0.0000 0.5000
7 Sb 0.5000 0.0000 0.2505
8 Sb 0.0000 0.5000 0.7495



(3)
GaHgSeO | PBE | optimized geometry

The calculation puts the volume at 180 Å³/cell. For the final energy, the calculation gives -3.7223 eV per atom. For the relative energy among the computed polymorphs, the calculation gives 8.0 kJ per mole of atoms.

a b c (Å): 3.8019 8.4269 5.6092
angles (deg): 90.00 90.00 90.00
Sites, in units of the cell vectors:
1 Ga 0.5000 0.8899 0.0522
2 Ga 0.5000 0.1101 0.5522
3 Hg 0.0000 0.3004 0.1015
4 Hg 0.0000 0.6996 0.6015
5 O 0.5000 0.0684 0.2313
6 O 0.5000 0.9316 0.7313
7 Se 0.0000 0.7029 0.1060
8 Se 0.0000 0.2971 0.6060



(4)
AcCoMo | PBE | optimized geometry

The calculation puts the volume at 65 Å³/cell. For the final energy, the calculation gives -5.7232 eV per atom. The calculation puts the formation energy from the elements at 1630 meV/atom. For the relative energy among the computed polymorphs, the calculation gives 58.0 kJ per mole of atoms.

a b c (Å): 4.5174 4.5174 4.5174
angles (deg): 60.00 60.00 60.00
Sites, in units of the cell vectors:
1 Ac 0.0000 0.0000 0.0000
2 Co 0.2500 0.2500 0.2500
3 Mo 0.7500 0.7500 0.7500



(5)
SrFeS3 | PBE | optimized geometry

The calculation puts the volume at 200 Å³/cell. For the final energy, the calculation gives -5.3775 eV per atom. For the relative energy among the computed polymorphs, the calculation gives 0.0 kJ per mole of atoms.

a b c (Å): 7.0580 7.0577 5.9303
angles (deg): 65.16 65.16 49.68
Sites, in units of the cell vectors:
1 Fe 0.5000 0.5000 0.0000
2 Fe 0.0000 0.0000 0.5000
3 S 0.8655 0.1345 0.1345
4 S 0.2500 0.2500 0.2500
5 S 0.3655 0.6345 0.3655
6 S 0.6345 0.3655 0.6345
7 S 0.7500 0.7500 0.7500
8 S 0.1345 0.8655 0.8655
9 Sr 0.7500 0.7500 0.2500
10 Sr 0.2500 0.2500 0.7500



(6)
SrGaCu | PBE | optimized geometry

The calculation puts the volume at 76 Å³/cell. For the final energy, the calculation gives -2.8276 eV per atom.

a b c (Å): 4.7515 4.7515 4.7515
angles (deg): 60.00 60.00 60.00
Sites, in units of the cell vectors:
1 Cu 0.0000 0.0000 0.0000
2 Ga 0.2500 0.2500 0.2500
3 Sr 0.7500 0.7500 0.7500



(7)
BaSn2Pt2 | PBE | optimized geometry

The calculation puts the volume at 533 Å³/cell. For the final energy, the calculation gives -5.1156 eV per atom.

a b c (Å): 9.1933 6.4912 9.1220
angles (deg): 90.00 101.86 90.00
Sites, in units of the cell vectors:
1 Ba 0.2577 0.3849 0.0125
2 Ba 0.7423 0.8849 0.4875
3 Ba 0.2577 0.1151 0.5125
4 Ba 0.7423 0.6151 0.9875
5 Pt 0.1397 0.8956 0.0958
6 Pt 0.6570 0.1746 0.1569
7 Pt 0.3430 0.6746 0.3431
8 Pt 0.8603 0.3956 0.4042
9 Pt 0.1397 0.6044 0.5958
10 Pt 0.6570 0.3254 0.6569
11 Pt 0.3430 0.8254 0.8431
12 Pt 0.8603 0.1044 0.9042
13 Sn 0.4405 0.8920 0.1388
14 Sn 0.9532 0.1443 0.2018
15 Sn 0.0468 0.6443 0.2982
16 Sn 0.5595 0.3920 0.3612
17 Sn 0.4405 0.6080 0.6388
18 Sn 0.9532 0.3557 0.7018
19 Sn 0.0468 0.8557 0.7982
20 Sn 0.5595 0.1080 0.8612



(8)
Cu2Ag | PBE | optimized geometry

The calculation puts the volume at 126 Å³/cell. For the final energy, the calculation gives -3.3175 eV per atom. The calculation puts the formation energy from the elements at 102 meV/atom. For the relative energy among the computed polymorphs, the calculation gives 5.4 kJ per mole of atoms.

a b c (Å): 7.1116 7.1116 7.1116
angles (deg): 157.82 73.86 110.61
Sites, in units of the cell vectors:
1 Ag 0.8437 0.6718 0.1719
2 Ag 0.4880 0.9880 0.5000
3 Ag 0.5000 0.6718 0.8281
4 Cu 0.1613 0.0018 0.1594
5 Cu 0.4936 0.3286 0.1650
6 Cu 0.8491 0.3491 0.5000
7 Cu 0.1584 0.6584 0.5000
8 Cu 0.1636 0.3286 0.8350
9 Cu 0.8424 0.0018 0.8406